8
Lattice="3.2265 0.0000 0.0000 -1.6133 2.7943 0.0000 0.0000 0.0000 12.3738" Properties=species:S:1:pos:R:3 comment="Nb4SnC2O, relaxed, DFT GGA-PBE" vol_a3_per_fu=112 final_energy_ev_per_atom=-9.209 pbc="T T T"
Nb 1.6133 0.9314 8.5649
Nb 0.0000 0.0000 1.5439
Nb 1.6133 0.9314 3.8089
Nb 0.0000 0.0000 10.8299
C 0.0000 1.8628 9.6996
C 0.0000 1.8628 2.6742
O 1.6133 0.9314 0.0000
Sn 0.0000 0.0000 6.1869